LaScGaGe: relaxed, PBE-GGA.

Values from the calculation:
Energy of formation ... -0.559 eV/atom
Final energy ... -5.285 eV per atom
Magnetic moment ... 0.00 μB/f.u.

```
data_LaScGaGe
_cell_length_a 7.161
_cell_length_b 7.161
_cell_length_c 7.161
_cell_angle_alpha 90.00
_cell_angle_beta 90.00
_cell_angle_gamma 90.00
_symmetry_space_group_name_H-M 'F -4 3 m'
_symmetry_Int_Tables_number 216
_symmetry_space_group_name_Hall 'F -4 2 3'
loop_
_atom_site_label
_atom_site_fract_x
_atom_site_fract_y
_atom_site_fract_z
La1 0.000 0.000 0.000
Sc1 0.000 0.000 0.500
Ga1 0.250 0.250 0.750
Ge1 0.250 0.250 0.250
```

***

La2Sm2GaGe4: relaxed, PBE-GGA.

Values from the calculation:
Energy of formation ... -0.395 eV/atom
Final energy ... -4.927 eV per atom
Magnetic moment ... 0.00 μB/f.u.

```
data_La2Sm2GaGe4
_cell_length_a 7.150
_cell_length_b 7.150
_cell_length_c 8.953
_cell_angle_alpha 90.00
_cell_angle_beta 90.00
_cell_angle_gamma 90.00
_symmetry_space_group_name_H-M 'I 4/m m m'
_symmetry_Int_Tables_number 139
_symmetry_space_group_name_Hall '-I 4 2'
loop_
_atom_site_label
_atom_site_fract_x
_atom_site_fract_y
_atom_site_fract_z
La1 0.000 0.500 0.250
Sm1 0.000 0.000 0.189
Ga1 0.000 0.000 0.500
Ge1 0.250 0.250 0.000
```

***

LaSmGaGe: relaxed, PBE-GGA.

Values from the calculation:
Energy of formation ... -0.756 eV/atom
Final energy ... -5.079 eV per atom
Magnetic moment ... 0.27 μB/f.u.
Energy above the lowest structure with this stoichiometry ... 0.000 kcal/mol of atoms

```
data_LaSmGaGe
_cell_length_a 4.120
_cell_length_b 4.488
_cell_length_c 11.353
_cell_angle_alpha 90.00
_cell_angle_beta 90.00
_cell_angle_gamma 90.00
_symmetry_space_group_name_H-M 'A m m 2'
_symmetry_Int_Tables_number 38
_symmetry_space_group_name_Hall 'A 2 -2'
loop_
_atom_site_label
_atom_site_fract_x
_atom_site_fract_y
_atom_site_fract_z
La1 0.000 0.000 0.000
Sm1 0.500 0.000 0.280
Ga1 0.500 0.000 0.571
Ge1 0.000 0.000 0.719
```

***

LaSmGaGe: relaxed, PBE-GGA.

Values from the calculation:
Energy of formation ... -0.595 eV/atom
Final energy ... -4.918 eV per atom
Magnetic moment ... 0.00 μB/f.u.
Energy above the lowest structure with this stoichiometry ... 3.718 kcal/mol of atoms

```
data_LaSmGaGe
_cell_length_a 7.414
_cell_length_b 7.414
_cell_length_c 7.414
_cell_angle_alpha 90.00
_cell_angle_beta 90.00
_cell_angle_gamma 90.00
_symmetry_space_group_name_H-M 'F -4 3 m'
_symmetry_Int_Tables_number 216
_symmetry_space_group_name_Hall 'F -4 2 3'
loop_
_atom_site_label
_atom_site_fract_x
_atom_site_fract_y
_atom_site_fract_z
La1 0.000 0.000 0.000
Sm1 0.000 0.000 0.500
Ga1 0.250 0.250 0.250
Ge1 0.250 0.250 0.750
```

***

LaGaSnGe: relaxed, PBE-GGA.

Values from the calculation:
Energy of formation ... -0.523 eV/atom
Final energy ... -4.666 eV per atom
Magnetic moment ... 0.00 μB/f.u.

```
data_LaGaSnGe
_cell_length_a 4.361
_cell_length_b 4.684
_cell_length_c 4.690
_cell_angle_alpha 90.00
_cell_angle_beta 90.00
_cell_angle_gamma 90.00
_symmetry_space_group_name_H-M 'P m m m'
_symmetry_Int_Tables_number 47
_symmetry_space_group_name_Hall '-P 2 2'
loop_
_atom_site_label
_atom_site_fract_x
_atom_site_fract_y
_atom_site_fract_z
La1 0.000 0.000 0.000
Ga1 0.500 0.000 0.500
Sn1 0.000 0.500 0.500
Ge1 0.500 0.500 0.000
```

***

La2GaSnGe: relaxed, PBE-GGA.

Values from the calculation:
Energy of formation ... -0.682 eV/atom
Final energy ... -4.982 eV per atom
Magnetic moment ... 0.00 μB/f.u.

```
data_La2GaSnGe
_cell_length_a 7.271
_cell_length_b 4.431
_cell_length_c 9.291
_cell_angle_alpha 90.00
_cell_angle_beta 104.56
_cell_angle_gamma 90.00
_symmetry_space_group_name_H-M 'P 1 21/m 1'
_symmetry_Int_Tables_number 11
_symmetry_space_group_name_Hall '-P 2yb'
loop_
_atom_site_label
_atom_site_fract_x
_atom_site_fract_y
_atom_site_fract_z
La1 0.210 0.250 0.413
La2 0.259 0.250 0.984
Ga1 0.476 0.750 0.270
Sn1 0.297 0.750 0.703
Ge1 0.137 0.750 0.175
```

***

LaGaTcGe2: relaxed, PBE-GGA.

Values from the calculation:
Energy of formation ... -0.470 eV/atom
Final energy ... -5.981 eV per atom
Magnetic moment ... 0.30 μB/f.u.

```
data_LaGaTcGe2
_cell_length_a 5.793
_cell_length_b 5.837
_cell_length_c 5.921
_cell_angle_alpha 90.00
_cell_angle_beta 90.00
_cell_angle_gamma 90.00
_symmetry_space_group_name_H-M 'P m m a'
_symmetry_Int_Tables_number 51
_symmetry_space_group_name_Hall '-P 2a 2a'
loop_
_atom_site_label
_atom_site_fract_x
_atom_site_fract_y
_atom_site_fract_z
La1 0.250 0.000 0.225
Ga1 0.250 0.500 0.370
Tc1 0.000 0.500 0.000
Ge1 0.250 0.242 0.737
```

***

LaThGaGe: relaxed, PBE-GGA.

Values from the calculation:
Energy of formation ... -0.672 eV/atom
Final energy ... -5.670 eV per atom
Magnetic moment ... 0.00 μB/f.u.

```
data_LaThGaGe
_cell_length_a 4.134
_cell_length_b 4.490
_cell_length_c 11.408
_cell_angle_alpha 90.00
_cell_angle_beta 90.00
_cell_angle_gamma 90.00
_symmetry_space_group_name_H-M 'A m m 2'
_symmetry_Int_Tables_number 38
_symmetry_space_group_name_Hall 'A 2 -2'
loop_
_atom_site_label
_atom_site_fract_x
_atom_site_fract_y
_atom_site_fract_z
La1 0.000 0.000 0.000
Th1 0.500 0.000 0.282
Ga1 0.500 0.000 0.567
Ge1 0.000 0.000 0.720
```

***

LaTmGaGe: relaxed, PBE-GGA.

Values from the calculation:
Energy of formation ... -0.730 eV/atom
Final energy ... -4.990 eV per atom
Magnetic moment ... 0.00 μB/f.u.
Energy above the lowest structure with this stoichiometry ... 0.000 kcal/mol of atoms

```
data_LaTmGaGe
_cell_length_a 4.075
_cell_length_b 4.415
_cell_length_c 11.142
_cell_angle_alpha 90.00
_cell_angle_beta 90.00
_cell_angle_gamma 90.00
_symmetry_space_group_name_H-M 'A m m 2'
_symmetry_Int_Tables_number 38
_symmetry_space_group_name_Hall 'A 2 -2'
loop_
_atom_site_label
_atom_site_fract_x
_atom_site_fract_y
_atom_site_fract_z
La1 0.000 0.000 0.000
Tm1 0.500 0.000 0.278
Ga1 0.500 0.000 0.571
Ge1 0.000 0.000 0.723
```

***

LaTmGaGe: relaxed, PBE-GGA.

Values from the calculation:
Energy of formation ... -0.587 eV/atom
Final energy ... -4.847 eV per atom
Magnetic moment ... 0.00 μB/f.u.
Energy above the lowest structure with this stoichiometry ... 3.298 kcal/mol of atoms

```
data_LaTmGaGe
_cell_length_a 7.297
_cell_length_b 7.297
_cell_length_c 7.297
_cell_angle_alpha 90.00
_cell_angle_beta 90.00
_cell_angle_gamma 90.00
_symmetry_space_group_name_H-M 'F -4 3 m'
_symmetry_Int_Tables_number 216
_symmetry_space_group_name_Hall 'F -4 2 3'
loop_
_atom_site_label
_atom_site_fract_x
_atom_site_fract_y
_atom_site_fract_z
La1 0.000 0.000 0.000
Tm1 0.000 0.000 0.500
Ga1 0.250 0.250 0.250
Ge1 0.250 0.250 0.750
```

***

La2Zn3GaGe4: relaxed, PBE-GGA.

Values from the calculation:
Energy of formation ... -0.429 eV/atom
Final energy ... -3.947 eV per atom
Magnetic moment ... 0.00 μB/f.u.

```
data_La2Zn3GaGe4
_cell_length_a 4.610
_cell_length_b 4.610
_cell_length_c 9.728
_cell_angle_alpha 90.00
_cell_angle_beta 90.00
_cell_angle_gamma 90.00
_symmetry_space_group_name_H-M 'P -4 m 2'
_symmetry_Int_Tables_number 115
_symmetry_space_group_name_Hall 'P -4 -2'
loop_
_atom_site_label
_atom_site_fract_x
_atom_site_fract_y
_atom_site_fract_z
La1 0.000 0.500 0.246
Zn1 0.000 0.500 0.879
Zn2 0.500 0.500 0.500
Ga1 0.000 0.000 0.500
Ge1 0.000 0.000 0.000
Ge2 0.000 0.500 0.626
Ge3 0.500 0.500 0.000
```

***

Li2Ga2Ge: relaxed, PBE-GGA.

Values from the calculation:
Energy of formation ... -0.251 eV/atom
Final energy ... -3.150 eV per atom
Magnetic moment ... 0.00 μB/f.u.
Energy above the lowest structure with this stoichiometry ... 0.000 kcal/mol of atoms

```
data_Li2Ga2Ge
_cell_length_a 4.271
_cell_length_b 2.858
_cell_length_c 7.128
_cell_angle_alpha 90.00
_cell_angle_beta 106.71
_cell_angle_gamma 90.00
_symmetry_space_group_name_H-M 'P 1 2/m 1'
_symmetry_Int_Tables_number 10
_symmetry_space_group_name_Hall '-P 2y'
loop_
_atom_site_label
_atom_site_fract_x
_atom_site_fract_y
_atom_site_fract_z
Li1 0.102 0.000 0.204
Ga1 0.301 0.500 0.606
Ge1 0.500 0.500 0.000
```

***

Li8Ga2Ge: relaxed, PBE-GGA.

Values from the calculation:
Energy of formation ... -0.291 eV/atom
Final energy ... -2.653 eV per atom
Magnetic moment ... 0.00 μB/f.u.

```
data_Li8Ga2Ge
_cell_length_a 14.908
_cell_length_b 4.406
_cell_length_c 5.208
_cell_angle_alpha 90.00
_cell_angle_beta 90.56
_cell_angle_gamma 90.00
_symmetry_space_group_name_H-M 'C 1 2/m 1'
_symmetry_Int_Tables_number 12
_symmetry_space_group_name_Hall '-C 2y'
loop_
_atom_site_label
_atom_site_fract_x
_atom_site_fract_y
_atom_site_fract_z
Li1 0.044 0.000 0.250
Li2 0.092 0.500 0.546
Li3 0.134 0.000 0.836
Li4 0.182 0.500 0.100
Ga1 0.222 0.000 0.386
Ge1 0.000 0.500 0.000
```

***

LiGaGe: relaxed, PBE-GGA.

Values from the calculation:
Energy of formation ... -0.103 eV/atom
Final energy ... -3.289 eV per atom
Magnetic moment ... 0.00 μB/f.u.

```
data_LiGaGe
_cell_length_a 5.146
_cell_length_b 5.282
_cell_length_c 8.321
_cell_angle_alpha 90.00
_cell_angle_beta 112.09
_cell_angle_gamma 90.00
_symmetry_space_group_name_H-M 'P 1 21/c 1'
_symmetry_Int_Tables_number 14
_symmetry_space_group_name_Hall '-P 2ybc'
loop_
_atom_site_label
_atom_site_fract_x
_atom_site_fract_y
_atom_site_fract_z
Li1 0.189 0.205 0.059
Ga1 0.431 0.693 0.077
Ge1 0.150 0.582 0.272
```

***

Li7GaGe4: relaxed, PBE-GGA.

Values from the calculation:
Energy of formation ... -0.205 eV/atom
Final energy ... -3.112 eV per atom
Magnetic moment ... 0.00 μB/f.u.

```
data_Li7GaGe4
_cell_length_a 12.381
_cell_length_b 4.714
_cell_length_c 9.351
_cell_angle_alpha 90.00
_cell_angle_beta 127.62
_cell_angle_gamma 90.00
_symmetry_space_group_name_H-M 'C 1 2/m 1'
_symmetry_Int_Tables_number 12
_symmetry_space_group_name_Hall '-C 2y'
loop_
_atom_site_label
_atom_site_fract_x
_atom_site_fract_y
_atom_site_fract_z
Li1 0.000 0.000 0.000
Li2 0.067 0.500 0.361
Li3 0.165 0.000 0.613
Li4 0.220 0.500 0.867
Ga1 0.000 0.500 0.000
Ge1 0.059 0.000 0.781
Ge2 0.186 0.000 0.344
```

***

LiGaGe: relaxed, PBE-GGA.

Values from the calculation:
Energy of formation ... -0.027 eV/atom
Final energy ... -3.213 eV per atom
Magnetic moment ... 0.00 μB/f.u.

```
data_LiGaGe
_cell_length_a 5.149
_cell_length_b 5.149
_cell_length_c 8.154
_cell_angle_alpha 90.00
_cell_angle_beta 90.00
_cell_angle_gamma 90.00
_symmetry_space_group_name_H-M 'P 41 2 2'
_symmetry_Int_Tables_number 91
_symmetry_space_group_name_Hall 'P 4w 2c'
loop_
_atom_site_label
_atom_site_fract_x
_atom_site_fract_y
_atom_site_fract_z
Li1 0.000 0.261 0.000
Ga1 0.248 0.248 0.375
Ge1 0.257 0.500 0.750
```

***

LiGaGe: relaxed, PBE-GGA.

Values from the calculation:
Energy of formation ... -0.173 eV/atom
Final energy ... -3.359 eV per atom
Magnetic moment ... 0.00 μB/f.u.

```
data_LiGaGe
_cell_length_a 8.474
_cell_length_b 6.257
_cell_length_c 4.585
_cell_angle_alpha 90.00
_cell_angle_beta 117.43
_cell_angle_gamma 90.00
_symmetry_space_group_name_H-M 'C 1 2 1'
_symmetry_Int_Tables_number 5
_symmetry_space_group_name_Hall 'C 2y'
loop_
_atom_site_label
_atom_site_fract_x
_atom_site_fract_y
_atom_site_fract_z
Li1 0.208 0.000 0.455
Ga1 0.079 0.708 0.819
Ge1 0.085 0.283 0.830
```

***

LiGaGe2: relaxed, PBE-GGA.

Values from the calculation:
Energy of formation ... -0.006 eV/atom
Final energy ... -3.550 eV per atom
Magnetic moment ... 0.00 μB/f.u.

```
data_LiGaGe2
_cell_length_a 4.1976
_cell_length_b 4.1976
_cell_length_c 15.0964
_cell_angle_alpha 90.00
_cell_angle_beta 90.00
_cell_angle_gamma 120.00
_symmetry_space_group_name_H-M 'R 3 m'
_symmetry_Int_Tables_number 160
_symmetry_space_group_name_Hall 'R 3 -2"'
loop_
_atom_site_label
_atom_site_fract_x
_atom_site_fract_y
_atom_site_fract_z
Li1 0.0000 0.0000 0.0000
Ga1 0.0000 0.0000 0.8148
Ge1 0.0000 0.0000 0.2366
Ge2 0.0000 0.0000 0.4072
```

***

LiGaGe: relaxed, PBE-GGA.

Values from the calculation:
Energy of formation ... -0.129 eV/atom
Final energy ... -3.315 eV per atom
Magnetic moment ... 0.00 μB/f.u.

```
data_LiGaGe
_cell_length_a 3.916
_cell_length_b 3.916
_cell_length_c 6.680
_cell_angle_alpha 90.00
_cell_angle_beta 90.00
_cell_angle_gamma 90.00
_symmetry_space_group_name_H-M 'P 4/n m m'
_symmetry_Int_Tables_number 129
loop_
_symmetry_equiv_pos_as_xyz
'x,y,z'
'-x,-y,-z'
'-y+1/2,x,z'
'y+1/2,-x,-z'
'-x+1/2,-y+1/2,z'
'x+1/2,y+1/2,-z'
'y,-x+1/2,z'
'-y,x+1/2,-z'
'x+1/2,-y,-z'
'-x+1/2,y,z'
'-y,-x,-z'
'y,x,z'
'-x,y+1/2,-z'
'x,-y+1/2,z'
'y+1/2,x+1/2,-z'
'-y+1/2,-x+1/2,z'
loop_
_atom_site_label
_atom_site_fract_x
_atom_site_fract_y
_atom_site_fract_z
Li1 0.250 0.750 0.000
Ga1 0.250 0.250 0.337
Ge1 0.250 0.250 0.722
```

***

LiGaGe2: relaxed, PBE-GGA.

Values from the calculation:
Energy of formation ... -0.028 eV/atom
Final energy ... -3.572 eV per atom
Magnetic moment ... 0.00 μB/f.u.

```
data_LiGaGe2
_cell_length_a 3.491
_cell_length_b 3.491
_cell_length_c 5.946
_cell_angle_alpha 90.00
_cell_angle_beta 90.00
_cell_angle_gamma 90.00
_symmetry_space_group_name_H-M 'P 4/m m m'
_symmetry_Int_Tables_number 123
_symmetry_space_group_name_Hall '-P 4 2'
loop_
_atom_site_label
_atom_site_fract_x
_atom_site_fract_y
_atom_site_fract_z
Li1 0.000 0.000 0.000
Ga1 0.000 0.000 0.500
Ge1 0.500 0.500 0.268
```